Below is a relaxed structure of NaYHf, with properties calculated at the PBE level.

Cell and atoms, written as POSCAR:
```
NaYHf
1.0
3.7953 0.0000 0.0000
0.0000 13.3971 0.0000
0.0000 0.0000 3.7264
Y Na Hf
2 2 2
Direct
0.0000 0.3080 0.0000
0.5000 0.6920 0.5000
0.0000 0.8947 0.0000
0.5000 0.1053 0.5000
0.0000 0.5488 0.0000
0.5000 0.4512 0.5000
```

relative energy among the computed polymorphs = 11.6 meV per atom
SG = No. 59
theoretical density = 5.1 Mg/m³
energy of formation = 0.131 eV/atom
M_tot = 0.0 μB/f.u.

***

Below is a relaxed structure of NaBi2As2, with properties calculated at the PBE level.

Cell and atoms, written as POSCAR:
```
NaBi2As2
1.0
-2.9934 3.4299 -0.3431
-1.5238 -1.7243 -3.9430
-7.0920 -3.0096 1.4139
Na As Bi
1 2 2
Direct
0.0000 0.0000 0.0000
0.4158 0.4158 0.1683
0.5842 0.5842 0.8317
0.7500 0.2500 0.5000
0.2500 0.7500 0.5000
```

relative energy among the computed polymorphs = 148.0 meV per atom
SG = No. 139
theoretical density = 6.6 Mg/m³
energy of formation = 0.028 eV/atom
M_tot = 0.0 μB/f.u.

***

Below is a relaxed structure of Li2CuPO4, with properties calculated at the PBE level.

Cell and atoms, written as POSCAR:
```
Li2CuPO4
1.0
-1.7940 -4.7277 0.3598
4.4408 -1.4944 2.5071
-2.6189 1.4108 5.4798
Li Cu P O
4 2 2 8
Direct
0.9990 0.3221 0.7492
0.4990 0.6779 0.7508
0.9990 0.3221 0.2507
0.4990 0.6779 0.2492
0.4916 0.2012 0.5000
0.9916 0.7988 0.0000
0.5042 0.1780 0.0000
0.0042 0.8220 0.5000
0.8917 0.6818 0.7018
0.3917 0.3182 0.2018
0.3095 0.8049 0.5000
0.4133 0.8983 0.0000
0.8095 0.1951 0.0000
0.8917 0.6818 0.2982
0.9133 0.1017 0.5000
0.3917 0.3182 0.7982
```

relative energy among the computed polymorphs = 5.9 meV per atom
SG = No. 31
theoretical density = 3.4 Mg/m³
formation energy without anion corrections = -1.950 eV/atom
M_tot = 0.0 μB/f.u.

***

Below is a relaxed structure of Pr4Te3O2, with properties calculated at the PBE level.

Cell and atoms, written as POSCAR:
```
Pr4Te3O2
1.0
6.8265 -0.0168 -0.0120
0.3570 8.6370 -0.2901
0.3570 2.5083 8.2699
Pr Te O
8 6 4
Direct
0.4617 0.9310 0.3181
0.0383 0.6819 0.0690
0.5383 0.0690 0.6819
0.9617 0.3181 0.9310
0.0834 0.2560 0.3988
0.4166 0.6012 0.7440
0.9166 0.7440 0.6012
0.5834 0.3988 0.2560
0.9544 0.9850 0.2385
0.5456 0.7615 0.0150
0.0456 0.0150 0.7615
0.4544 0.2385 0.9850
0.2500 0.5950 0.4050
0.7500 0.4050 0.5950
0.4164 0.1653 0.4163
0.0836 0.5837 0.8347
0.5836 0.8347 0.5837
0.9164 0.4163 0.1653
```

SG = No. 15
theoretical density = 6.6 Mg/m³
formation energy without anion corrections = -2.103 eV/atom
M_tot = 0.0 μB/f.u.

***

Below is a relaxed structure of Pm3HoGa3, with properties calculated at the PBE level.

Cell and atoms, written as POSCAR:
```
Pm3HoGa3
1.0
7.1775 1.1322 0.3449
-2.1840 6.9302 0.3449
-0.3493 -0.5640 7.3589
Pm Ho Ga
6 2 6
Direct
0.6581 0.6581 0.3612
0.1888 0.8112 0.5000
0.8112 0.1888 0.5000
0.2530 0.7470 0.0000
0.7470 0.2530 0.0000
0.3419 0.3419 0.6388
0.7264 0.7264 0.8794
0.2736 0.2736 0.1206
0.9620 0.9620 0.1969
0.9953 0.5006 0.7413
0.5006 0.9953 0.7413
0.0047 0.4994 0.2587
0.4994 0.0047 0.2587
0.0380 0.0380 0.8031
```

SG = No. 12
theoretical density = 6.9 Mg/m³
energy of formation = -0.357 eV/atom
M_tot = 0.0 μB/f.u.